No. 1
BaV2RhO8, relaxed, DFT PBE+U; symmetry = P-3, No. 147
1.0
5.4112 0.0000 0.0000
-2.7056 4.6863 0.0000
0.0000 0.0000 7.3934
Ba V Rh O
1 2 1 8
Direct
0.0000 0.0000 0.0000
0.6667 0.3333 0.2716
0.3333 0.6667 0.7284
0.0000 0.0000 0.5000
0.3333 0.6667 0.9567
0.3183 0.2448 0.3354
0.7552 0.0735 0.3354
0.6667 0.3333 0.0433
0.2448 0.9265 0.6646
0.6817 0.7552 0.6646
0.0735 0.3183 0.6646
0.9265 0.6817 0.3354

---

No. 2
BaVRhO6, relaxed, DFT PBE+U; symmetry = P312, No. 149
1.0
5.2209 0.0000 0.0000
2.6105 4.5214 0.0001
0.0001 -0.0002 5.7580
Ba V Rh O
1 1 1 6
Direct
0.0000 0.0000 0.0000
0.6666 0.6667 0.5000
0.3333 0.3333 0.5000
0.9894 0.3934 0.3130
0.3934 0.9895 0.6870
0.6171 0.3934 0.6870
0.9894 0.6172 0.6870
0.3933 0.6172 0.3130
0.6172 0.9895 0.3130

---

Short version: theoretical density = 4.16, 4.73 Mg/m³, in the order given.
Short version: DFT total energy = -7.11, -6.79 eV/atom, in the order given.